{"formula": "MgFe2O5", "functional": "PBE with a Hubbard U", "state": "optimized geometry", "lattice_angstrom": [[1.8579, -5.3577, 0.0000], [1.8579, 5.3577, 0.0000], [0.0000, 0.0000, 11.1210]], "species": ["O", "O", "O", "O", "O", "O", "O", "O", "O", "O", "Fe", "Fe", "Fe", "Fe", "Mg", "Mg"], "frac_coords": [[0.2241, 0.7759, 0.9212], [0.9486, 0.0514, 0.6539], [0.6897, 0.3103, 0.7500], [0.3103, 0.6897, 0.2500], [0.7759, 0.2241, 0.0788], [0.0514, 0.9486, 0.3461], [0.9486, 0.0514, 0.8461], [0.0514, 0.9486, 0.1539], [0.2241, 0.7759, 0.5788], [0.7759, 0.2241, 0.4212], [0.7880, 0.2120, 0.8993], [0.2120, 0.7880, 0.1007], [0.7880, 0.2120, 0.6007], [0.2120, 0.7880, 0.3993], [0.1075, 0.8925, 0.7500], [0.8925, 0.1075, 0.2500]], "de_polymorph_ev_per_atom": 0.107, "m_tot_mub_per_fu": 7.99, "dft_energy_ev_per_cell": -96.649, "crystal_system": "orthorhombic", "density_g_cm3": 3.2, "dos_at_fermi_per_ev_cell": 6.39}